Sm2BrNCl | GGA-PBE | optimized geometry

## Properties
The electronic total energy comes out at -0.444 Ry per atom. The calculation puts the mass density at 6.035 Mg/m³.

a b c (Å): 3.7308 3.7308 9.8173
angles (deg): 90.00 90.00 120.00
Atoms (fractional coordinates):
Br: 0.0000 0.0000 0.3365
Cl: 0.6667 0.3333 0.6758
N: 0.3333 0.6667 0.9951
Sm: 0.6667 0.3333 0.1332
Sm: 0.0000 0.0000 0.8594

Sm4Br2N2Cl3 | GGA-PBE | optimized geometry

## Properties
The electronic total energy comes out at -0.414 Ry per atom. The calculation puts the mass density at 5.810 Mg/m³.

a b c (Å): 9.3300 9.3300 7.9977
angles (deg): 104.07 104.07 22.30
Atoms (fractional coordinates):
Br: 0.8395 0.8395 0.1113
Br: 0.1605 0.1605 0.8887
Cl: 0.5000 0.5000 0.0000
Cl: 0.1685 0.1685 0.3254
Cl: 0.8315 0.8315 0.6746
N: 0.4607 0.4607 0.4758
N: 0.5393 0.5393 0.5242
Sm: 0.0017 0.0017 0.2976
Sm: 0.3336 0.3336 0.3964
Sm: 0.6664 0.6664 0.6036
Sm: 0.9983 0.9983 0.7024

Sm4BrN2Cl | GGA-PBE | optimized geometry

## Properties
The electronic total energy comes out at -0.469 Ry per atom. The calculation puts the mass density at 7.606 Mg/m³.

a b c (Å): 3.6447 3.6447 14.1342
angles (deg): 90.00 90.00 120.00
Atoms (fractional coordinates):
Br: 0.0000 0.0000 0.0000
Cl: 0.3333 0.6667 0.5000
N: 0.6667 0.3333 0.2558
N: 0.6667 0.3333 0.7442
Sm: 0.3333 0.6667 0.1629
Sm: 0.0000 0.0000 0.3461
Sm: 0.0000 0.0000 0.6539
Sm: 0.3333 0.6667 0.8371

Sm2BrNCl2 | GGA-PBE | optimized geometry

## Properties
The electronic total energy comes out at -0.431 Ry per atom. The calculation puts the mass density at 4.997 Mg/m³. Its energy above the lowest structure with this stoichiometry is 0.000 eV per atom.

a b c (Å): 8.4035 8.4035 10.9574
angles (deg): 118.71 118.71 27.39
Atoms (fractional coordinates):
Br: 0.3429 0.3429 0.4834
Br: 0.6571 0.6571 0.5166
Cl: 0.2211 0.2211 0.1100
Cl: 0.9505 0.9505 0.2473
Cl: 0.0495 0.0495 0.7527
Cl: 0.7789 0.7789 0.8900
N: 0.5750 0.5750 0.1538
N: 0.4250 0.4250 0.8462
Sm: 0.4132 0.4132 0.0469
Sm: 0.1356 0.1356 0.2866
Sm: 0.8644 0.8644 0.7134
Sm: 0.5868 0.5868 0.9531

TbSmBrNCl2 | GGA-PBE | optimized geometry

## Properties
The electronic total energy comes out at -0.429 Ry per atom. The calculation puts the mass density at 5.259 Mg/m³. Its energy above the lowest structure with this stoichiometry is 0.028 eV per atom.

a b c (Å): 8.5368 8.5368 10.7735
angles (deg): 120.23 120.23 26.46
Atoms (fractional coordinates):
Br: 0.0465 0.0465 0.2252
Br: 0.9535 0.9535 0.7748
Cl: 0.6698 0.6698 0.0154
Cl: 0.7800 0.7800 0.3840
Cl: 0.2200 0.2200 0.6160
Cl: 0.3302 0.3302 0.9846
N: 0.4239 0.4239 0.3400
N: 0.5761 0.5761 0.6600
Sm: 0.5854 0.5854 0.4538
Sm: 0.4146 0.4146 0.5462
Tb: 0.8625 0.8625 0.2057
Tb: 0.1375 0.1375 0.7943

TbSmBrNCl2 | GGA-PBE | optimized geometry

## Properties
The electronic total energy comes out at -0.432 Ry per atom. The calculation puts the mass density at 5.147 Mg/m³. Its energy above the lowest structure with this stoichiometry is 0.000 eV per atom.

a b c (Å): 8.4387 8.4387 10.9606
angles (deg): 119.26 119.26 26.96
Atoms (fractional coordinates):
Br: 0.3435 0.3435 0.4827
Br: 0.6565 0.6565 0.5173
Cl: 0.2174 0.2174 0.1074
Cl: 0.9493 0.9493 0.2413
Cl: 0.0507 0.0507 0.7587
Cl: 0.7826 0.7826 0.8926
N: 0.5739 0.5739 0.1521
N: 0.4261 0.4261 0.8479
Sm: 0.1354 0.1354 0.2862
Sm: 0.8646 0.8646 0.7138
Tb: 0.4155 0.4155 0.0447
Tb: 0.5845 0.5845 0.9553

TbSmBrNCl2 | GGA-PBE | optimized geometry

## Properties
The electronic total energy comes out at -0.431 Ry per atom. The calculation puts the mass density at 5.149 Mg/m³. Its energy above the lowest structure with this stoichiometry is 0.009 eV per atom.

a b c (Å): 8.6023 8.6023 10.8915
angles (deg): 120.35 120.35 26.35
Atoms (fractional coordinates):
Br: 0.9487 0.9487 0.2620
Br: 0.0513 0.0513 0.7380
Cl: 0.2149 0.2149 0.1108
Cl: 0.3323 0.3323 0.4856
Cl: 0.6677 0.6677 0.5144
Cl: 0.7851 0.7851 0.8892
N: 0.5734 0.5734 0.1550
N: 0.4266 0.4266 0.8450
Sm: 0.1368 0.1368 0.2930
Sm: 0.8632 0.8632 0.7070
Tb: 0.4168 0.4168 0.0429
Tb: 0.5832 0.5832 0.9571

TbSmBrNCl2 | GGA-PBE | optimized geometry

## Properties
The electronic total energy comes out at -0.430 Ry per atom. The calculation puts the mass density at 5.244 Mg/m³. Its energy above the lowest structure with this stoichiometry is 0.020 eV per atom.

a b c (Å): 8.3594 8.3594 10.8746
angles (deg): 119.20 119.20 27.18
Atoms (fractional coordinates):
Br: 0.3416 0.3416 0.4839
Br: 0.6584 0.6584 0.5161
Cl: 0.2234 0.2234 0.1138
Cl: 0.9531 0.9531 0.2513
Cl: 0.0469 0.0469 0.7487
Cl: 0.7766 0.7766 0.8862
N: 0.5766 0.5766 0.1565
N: 0.4234 0.4234 0.8435
Sm: 0.4131 0.4131 0.0469
Sm: 0.5869 0.5869 0.9531
Tb: 0.1355 0.1355 0.2865
Tb: 0.8645 0.8645 0.7135

SmYBrNCl2 | GGA-PBE | optimized geometry

## Properties
The electronic total energy comes out at -0.453 Ry per atom. The calculation puts the mass density at 4.320 Mg/m³. Its energy above the lowest structure with this stoichiometry is 0.007 eV per atom.

a b c (Å): 8.7708 8.7708 10.9452
angles (deg): 121.00 121.00 25.76
Atoms (fractional coordinates):
Br: 0.9513 0.9513 0.2625
Br: 0.0487 0.0487 0.7375
Cl: 0.2102 0.2102 0.1088
Cl: 0.3301 0.3301 0.4848
Cl: 0.6699 0.6699 0.5152
Cl: 0.7898 0.7898 0.8912
N: 0.5732 0.5732 0.1555
N: 0.4268 0.4268 0.8445
Sm: 0.1368 0.1368 0.2933
Sm: 0.8632 0.8632 0.7067
Y: 0.4197 0.4197 0.0435
Y: 0.5803 0.5803 0.9565

SmYBrNCl2 | GGA-PBE | optimized geometry

## Properties
The electronic total energy comes out at -0.452 Ry per atom. The calculation puts the mass density at 4.481 Mg/m³. Its energy above the lowest structure with this stoichiometry is 0.022 eV per atom.

a b c (Å): 8.3613 8.3613 10.8458
angles (deg): 119.22 119.22 27.18
Atoms (fractional coordinates):
Br: 0.6586 0.6586 0.0166
Br: 0.3414 0.3414 0.9834
Cl: 0.0471 0.0471 0.2472
Cl: 0.7773 0.7773 0.3877
Cl: 0.2227 0.2227 0.6123
Cl: 0.9529 0.9529 0.7528
N: 0.4233 0.4233 0.3434
N: 0.5767 0.5767 0.6566
Sm: 0.5871 0.5871 0.4522
Sm: 0.4129 0.4129 0.5478
Y: 0.8650 0.8650 0.2138
Y: 0.1350 0.1350 0.7862

SmYBrNCl2 | GGA-PBE | optimized geometry

## Properties
The electronic total energy comes out at -0.454 Ry per atom. The calculation puts the mass density at 4.339 Mg/m³. Its energy above the lowest structure with this stoichiometry is 0.000 eV per atom.

a b c (Å): 8.5669 8.5669 10.9967
angles (deg): 119.81 119.81 26.47
Atoms (fractional coordinates):
Br: 0.3418 0.3418 0.4816
Br: 0.6582 0.6582 0.5184
Cl: 0.2144 0.2144 0.1050
Cl: 0.9508 0.9508 0.2416
Cl: 0.0492 0.0492 0.7584
Cl: 0.7856 0.7856 0.8950
N: 0.5737 0.5737 0.1522
N: 0.4263 0.4263 0.8478
Sm: 0.1351 0.1351 0.2859
Sm: 0.8649 0.8649 0.7141
Y: 0.4178 0.4178 0.0451
Y: 0.5822 0.5822 0.9549

Sm2Y2Br3NCl2 | GGA-PBE | optimized geometry

## Properties
The electronic total energy comes out at -0.415 Ry per atom. The calculation puts the mass density at 5.194 Mg/m³.

a b c (Å): 8.9741 8.9741 8.0324
angles (deg): 103.36 103.36 24.11
Atoms (fractional coordinates):
Br: 0.8304 0.8304 0.1860
Br: 0.5000 0.5000 0.5000
Br: 0.1696 0.1696 0.8140
Cl: 0.1565 0.1565 0.3405
Cl: 0.8435 0.8435 0.6595
N: 0.5000 0.5000 0.0000
Sm: 0.6409 0.6409 0.0779
Sm: 0.3591 0.3591 0.9221
Y: 0.9994 0.9994 0.2003
Y: 0.0006 0.0006 0.7997

SmYBrNCl2 | GGA-PBE | optimized geometry

## Properties
The electronic total energy comes out at -0.451 Ry per atom. The calculation puts the mass density at 4.337 Mg/m³. Its energy above the lowest structure with this stoichiometry is 0.029 eV per atom.

a b c (Å): 8.8481 8.8481 10.9884
angles (deg): 122.09 122.09 25.39
Atoms (fractional coordinates):
Br: 0.9589 0.9589 0.2726
Br: 0.0411 0.0411 0.7274
Cl: 0.2161 0.2161 0.1191
Cl: 0.3273 0.3273 0.4866
Cl: 0.6727 0.6727 0.5134
Cl: 0.7839 0.7839 0.8809
N: 0.5760 0.5760 0.1598
N: 0.4240 0.4240 0.8402
Sm: 0.4176 0.4176 0.0438
Sm: 0.5824 0.5824 0.9562
Y: 0.1373 0.1373 0.2942
Y: 0.8627 0.8627 0.7058

Tb2Br2NCl | GGA-PBE | optimized geometry

## Properties
The electronic total energy comes out at -0.421 Ry per atom. The calculation puts the mass density at 5.534 Mg/m³. Its energy above the lowest structure with this stoichiometry is 0.009 eV per atom.

a b c (Å): 8.9919 8.9919 11.2037
angles (deg): 123.02 123.02 24.89
Atoms (fractional coordinates):
Br: 0.2230 0.2230 0.1227
Br: 0.9596 0.9596 0.2624
Br: 0.0404 0.0404 0.7376
Br: 0.7770 0.7770 0.8773
Cl: 0.3279 0.3279 0.4917
Cl: 0.6721 0.6721 0.5083
N: 0.5757 0.5757 0.1567
N: 0.4243 0.4243 0.8433
Tb: 0.4221 0.4221 0.0426
Tb: 0.1382 0.1382 0.2924
Tb: 0.8618 0.8618 0.7076
Tb: 0.5779 0.5779 0.9574

Tb2Br2NCl | GGA-PBE | optimized geometry

## Properties
The electronic total energy comes out at -0.422 Ry per atom. The calculation puts the mass density at 5.705 Mg/m³. Its energy above the lowest structure with this stoichiometry is 0.000 eV per atom.

a b c (Å): 8.6193 8.6193 10.9749
angles (deg): 120.29 120.29 26.09
Atoms (fractional coordinates):
Br: 0.9486 0.9486 0.2597
Br: 0.3371 0.3371 0.4806
Br: 0.6629 0.6629 0.5194
Br: 0.0514 0.0514 0.7403
Cl: 0.2135 0.2135 0.1108
Cl: 0.7865 0.7865 0.8892
N: 0.5732 0.5732 0.1553
N: 0.4268 0.4268 0.8447
Tb: 0.4168 0.4168 0.0422
Tb: 0.1335 0.1335 0.2870
Tb: 0.8665 0.8665 0.7130
Tb: 0.5832 0.5832 0.9578

Tb2Br2NCl | GGA-PBE | optimized geometry

## Properties
The electronic total energy comes out at -0.421 Ry per atom. The calculation puts the mass density at 5.526 Mg/m³. Its energy above the lowest structure with this stoichiometry is 0.003 eV per atom.

a b c (Å): 8.7729 8.7729 11.3928
angles (deg): 122.34 122.34 25.60
Atoms (fractional coordinates):
Br: 0.6597 0.6597 0.0058
Br: 0.7711 0.7711 0.3761
Br: 0.2289 0.2289 0.6239
Br: 0.3403 0.3403 0.9942
Cl: 0.0434 0.0434 0.2649
Cl: 0.9566 0.9566 0.7351
N: 0.4239 0.4239 0.3472
N: 0.5761 0.5761 0.6528
Tb: 0.8637 0.8637 0.2156
Tb: 0.5809 0.5809 0.4594
Tb: 0.4191 0.4191 0.5406
Tb: 0.1363 0.1363 0.7844

TbYBr2NCl | GGA-PBE | optimized geometry

## Properties
The electronic total energy comes out at -0.443 Ry per atom. The calculation puts the mass density at 4.649 Mg/m³. Its energy above the lowest structure with this stoichiometry is 0.012 eV per atom.

a b c (Å): 9.3028 9.3028 11.4506
angles (deg): 124.88 124.88 23.96
Atoms (fractional coordinates):
Br: 0.0350 0.0350 0.2399
Br: 0.7801 0.7801 0.3756
Br: 0.2199 0.2199 0.6244
Br: 0.9650 0.9650 0.7601
Cl: 0.6746 0.6746 0.0068
Cl: 0.3254 0.3254 0.9932
N: 0.4239 0.4239 0.3435
N: 0.5761 0.5761 0.6565
Tb: 0.5755 0.5755 0.4595
Tb: 0.4245 0.4245 0.5405
Y: 0.8616 0.8616 0.2087
Y: 0.1384 0.1384 0.7913

TbYBr2NCl | GGA-PBE | optimized geometry

## Properties
The electronic total energy comes out at -0.443 Ry per atom. The calculation puts the mass density at 4.573 Mg/m³. Its energy above the lowest structure with this stoichiometry is 0.007 eV per atom.

a b c (Å): 9.4220 9.4220 11.5716
angles (deg): 125.41 125.41 23.64
Atoms (fractional coordinates):
Br: 0.2172 0.2172 0.1242
Br: 0.9661 0.9661 0.2573
Br: 0.0339 0.0339 0.7427
Br: 0.7828 0.7828 0.8758
Cl: 0.3250 0.3250 0.4937
Cl: 0.6750 0.6750 0.5063
N: 0.5765 0.5765 0.1570
N: 0.4235 0.4235 0.8430
Tb: 0.1392 0.1392 0.2921
Tb: 0.8608 0.8608 0.7079
Y: 0.4262 0.4262 0.0395
Y: 0.5738 0.5738 0.9605

TbYBr2NCl | GGA-PBE | optimized geometry

## Properties
The electronic total energy comes out at -0.444 Ry per atom. The calculation puts the mass density at 4.620 Mg/m³. Its energy above the lowest structure with this stoichiometry is 0.000 eV per atom.

a b c (Å): 9.1857 9.1857 11.4405
angles (deg): 123.53 123.53 24.37
Atoms (fractional coordinates):
Br: 0.9570 0.9570 0.2518
Br: 0.3322 0.3322 0.4837
Br: 0.6678 0.6678 0.5163
Br: 0.0430 0.0430 0.7482
Cl: 0.2049 0.2049 0.1146
Cl: 0.7951 0.7951 0.8854
N: 0.5736 0.5736 0.1553
N: 0.4264 0.4264 0.8447
Tb: 0.1345 0.1345 0.2865
Tb: 0.8655 0.8655 0.7135
Y: 0.4228 0.4228 0.0379
Y: 0.5772 0.5772 0.9621

TbYBr2NCl | GGA-PBE | optimized geometry

## Properties
The electronic total energy comes out at -0.444 Ry per atom. The calculation puts the mass density at 4.888 Mg/m³. Its energy above the lowest structure with this stoichiometry is 0.004 eV per atom.

a b c (Å): 8.7777 8.7777 10.9919
angles (deg): 120.85 120.85 25.54
Atoms (fractional coordinates):
Br: 0.6658 0.6658 0.0212
Br: 0.0474 0.0474 0.2377
Br: 0.9526 0.9526 0.7623
Br: 0.3342 0.3342 0.9788
Cl: 0.7902 0.7902 0.3923
Cl: 0.2098 0.2098 0.6077
N: 0.4266 0.4266 0.3444
N: 0.5734 0.5734 0.6556
Tb: 0.5808 0.5808 0.4567
Tb: 0.4192 0.4192 0.5433
Y: 0.8665 0.8665 0.2129
Y: 0.1335 0.1335 0.7871